[1]
A geometry-optimized Na3AgMo structure, computed with PBE-GGA.

Cell: 5.527 5.527 5.527 Å, 90.00 90.00 90.00°
Space group Pm-3m (No. 221)
Inequivalent atoms, fractional coordinates:
1 Na 0.000 0.000 0.500 x3
2 Ag 0.000 0.000 0.000 x1
3 Mo 0.500 0.500 0.500 x1

**Energy**: -2.46 eV per atom
**Calculated density**: 2.682 g cm⁻³


[2]
A geometry-optimized Tl3CdIn3 structure, computed with PBE-GGA.

Cell: 6.7555 6.7555 31.9286 Å, 90.00 90.00 120.00°
Space group R-3m (No. 166, hexagonal axes)
Inequivalent atoms, fractional coordinates:
1 Tl 0.0062 0.5031 0.3763 x18
2 Cd 0.0000 0.0000 0.2008 x6
3 In 0.0118 0.5059 0.2091 x18

**Energy**: -2.24 eV per atom
**Calculated density**: 8.448 g cm⁻³


[3]
A geometry-optimized Tb6BiRu2 structure, computed with PBE-GGA.

Cell: 10.318 4.931 9.706 Å, 90.00 100.15 90.00°
Space group C2/m (No. 12)
Inequivalent atoms, fractional coordinates:
1 Tb 0.029 0.000 0.338 x4
2 Tb 0.163 0.500 0.879 x4
3 Tb 0.222 0.500 0.355 x4
4 Bi 0.000 0.000 0.000 x2
5 Ru 0.106 0.500 0.597 x4

**Energy**: -5.90 eV per atom
**Calculated density**: 9.324 g cm⁻³


[4]
A geometry-optimized BaNaP2F structure, computed with PBE-GGA.

Cell: 6.363 6.363 4.913 Å, 90.00 90.00 90.00°
Space group P4/mmm (No. 123)
Inequivalent atoms, fractional coordinates:
1 Ba 0.000 0.000 0.000 x1
2 Na 0.500 0.500 0.500 x1
3 P 0.000 0.500 0.000 x2
4 F 0.000 0.000 0.500 x1

**Calculated density**: 2.014 g cm⁻³
**Formation energy without anion corrections**: -0.3366 eV per atom


Magnetic moment: 4.9 0.0 0.0 4.0 (Bohr magnetons per cell)
Volume: 168.87 1261.89 486.07 198.94 (Å³/cell)